Record 1
This record from Alexandria describes a relaxed LaCdO2F crystal. The functional is PBE.

The structure in POSCAR format:
```
LaCdO2F
1.0
4.3385 0.0000 0.0000
0.0000 4.3385 0.0000
0.0000 0.0000 4.2002
La Cd F O
1 1 1 2
Cartesian
2.1692 2.1692 2.1001
0.0000 0.0000 0.0000
0.0000 0.0000 2.1001
2.1692 0.0000 0.0000
0.0000 2.1692 0.0000
```

Properties
* formation energy from raw total energies: -1.974 eV per atom
* SG: No. 123

---

Record 2
This record from Alexandria describes a relaxed Pm6Hg2BiTe3 crystal. The functional is PBE.

The structure in POSCAR format:
```
Pm6Hg2BiTe3
1.0
4.4107 0.0000 0.0000
0.0000 9.0871 -0.1245
-2.2053 -3.0835 9.5036
Te Bi Hg Pm
3 1 2 6
Cartesian
0.0000 6.7710 2.9726
2.2053 4.5436 -0.0623
2.2053 -0.7674 6.4065
2.2053 0.0000 0.0000
2.2053 3.7251 6.0227
0.0000 2.2786 3.3564
0.0000 1.4959 6.3589
0.0000 6.0369 6.1571
0.0000 2.2700 0.0943
2.2053 4.5077 3.0201
2.2053 3.7336 9.2848
2.2053 -0.0333 3.2220
```

Properties
* formation energy from raw total energies: -1.009 eV per atom
* SG: No. 12

---

Record 3
This record from Alexandria describes a relaxed Ac2La3Se8 crystal. The functional is PBE.

The structure in POSCAR format:
```
Ac2La3Se8
1.0
5.0618 0.0000 0.0000
0.0000 9.2057 -5.2900
0.0000 -0.8473 9.1808
Ac Se La
2 8 3
Cartesian
2.5309 6.3795 0.4470
2.5309 1.9790 3.4438
0.0000 7.4831 2.3674
2.5309 5.2762 3.5444
5.0618 2.8303 4.9247
2.5309 0.4055 6.3436
0.0000 5.5281 -1.0339
2.5309 3.0822 0.3464
5.0618 0.8753 1.5234
2.5309 7.9529 -2.4528
2.5309 0.0000 0.0000
0.0000 1.7781 7.6714
0.0000 6.5804 -3.7806
```

Properties
* formation energy from raw total energies: -1.834 eV per atom
* SG: No. 65

---

Record 4
This record from Alexandria describes a relaxed Li3Nd2YS6 crystal. The functional is PBE.

The structure in POSCAR format:
```
Li3Nd2YS6
1.0
-4.4405 0.8392 5.2902
2.1155 -6.3802 -1.7964
5.5465 2.3084 2.7796
Li Nd S Y
3 2 6 1
Cartesian
-0.6232 0.8437 5.5514
3.8447 -4.0763 0.7220
1.6107 -1.6163 3.1367
-2.2590 -1.5631 2.9321
-0.0660 -3.9779 0.5617
-0.3580 -3.6184 3.3550
3.5794 0.3858 2.9184
-0.2228 0.3930 2.7204
3.4443 -3.6256 3.5530
1.3170 -1.2831 5.8524
1.9044 -1.9495 0.4210
0.0000 0.0000 0.0000
```

Properties
* formation energy from raw total energies: -1.800 eV per atom
* SG: No. 12

---

Record 5
This record from Alexandria describes a relaxed Mn2TeAu2 crystal. The functional is PBE.

The structure in POSCAR format:
```
Mn2TeAu2
1.0
-0.1923 -1.8599 -6.9484
-2.8193 -6.3752 1.7844
-3.4163 1.4301 -0.2883
Mn Au Te
4 4 2
Cartesian
-0.5486 -2.1673 -4.2501
-2.4630 -6.0678 -0.9139
-1.0149 -2.5092 -0.4199
-1.9967 -5.7259 -4.7440
-2.8854 -3.1711 -5.4721
-3.5425 -3.6338 0.0199
-2.1748 -0.8516 -2.3868
-4.2532 -5.9533 -3.0654
0.0000 0.0000 0.0000
-1.5058 -4.1175 -2.5820
```

Properties
* formation energy from raw total energies: 0.108 eV per atom
* SG: No. 127

---

Record 6
This record from Alexandria describes a relaxed Sm6Ge2PI3 crystal. The functional is PBE.

The structure in POSCAR format:
```
Sm6Ge2PI3
1.0
-4.0258 5.7973 -2.1608
0.1376 -6.1321 -4.1065
-4.6745 -2.5996 5.9363
I Sm Ge P
3 6 2 1
Cartesian
-5.6620 2.4888 0.4797
-2.9007 -5.4232 -0.8107
-4.2814 -1.4672 -0.1655
-3.7750 -0.7516 -3.4695
-7.4511 -0.4028 0.2674
-4.7877 -2.1828 3.1385
-2.4739 1.3716 0.0382
-1.1116 -2.5316 -0.5984
-6.0888 -4.3061 -0.3692
-2.6375 1.8195 -2.8096
-1.2507 -2.1543 -3.4577
0.0000 0.0000 0.0000
```

Properties
* formation energy from raw total energies: -1.123 eV per atom
* SG: No. 12

---

Record 7
This record from Alexandria describes a relaxed VCoW2 crystal. The functional is PBE.

The structure in POSCAR format:
```
VCoW2
1.0
0.0000 3.0452 3.0452
3.0452 0.0000 3.0452
3.0452 3.0452 0.0000
W V Co
2 1 1
Cartesian
4.5678 4.5678 4.5678
1.5226 1.5226 1.5226
0.0000 0.0000 0.0000
3.0452 3.0452 3.0452
```

Properties
* formation energy: 0.142 eV/atom
* SG: No. 225

---

Record 8
This record from Alexandria describes a relaxed ZrInGe3 crystal. The functional is PBE.

The structure in POSCAR format:
```
ZrInGe3
1.0
-2.1344 -4.5563 0.8178
4.6071 -2.0032 0.8634
-0.4503 1.1007 4.9568
Ge Zr In
3 1 1
Cartesian
-0.2252 0.5503 2.4784
-1.0672 -2.2781 0.4089
2.3036 -1.0016 0.4317
1.0112 -2.7294 3.3190
0.0000 0.0000 0.0000
```

Properties
* formation energy: 1.002 eV/atom
* SG: No. 221

---

Record 9
This record from Alexandria describes a relaxed ReAgRh2 crystal. The functional is PBE.

The structure in POSCAR format:
```
ReAgRh2
1.0
-1.3256 0.8205 3.6878
3.2491 -1.7467 1.5565
1.8112 3.2959 -0.0822
Rh Re Ag
2 1 1
Cartesian
1.6246 -0.8734 0.7783
-0.6628 0.4102 1.8439
0.9056 1.6480 -0.0411
1.8674 1.1848 2.5811
```

Properties
* formation energy: 0.434 eV/atom
* SG: No. 123

---

Record 10
This record from Alexandria describes a relaxed AcTl2Sb2Pd7 crystal. The functional is PBE.

The structure in POSCAR format:
```
AcTl2Sb2Pd7
1.0
4.1774 -0.0055 -0.1152
-0.0004 4.1774 -0.1152
1.6680 1.6659 15.2903
Ac Sb Pd Tl
1 2 7 2
Cartesian
0.0000 0.0000 0.0000
3.6679 3.6635 11.2777
2.1770 2.1744 3.7823
3.7027 1.6165 12.9657
4.2239 2.1371 2.0943
1.6210 3.7008 12.9657
2.3492 2.3463 6.3763
3.4958 3.4915 8.6837
2.0885 2.0860 -0.1152
2.1422 4.2213 2.0943
4.3924 4.3870 6.0124
1.4526 1.4508 9.0476
```

Properties
* formation energy from raw total energies: -0.372 eV per atom
* SG: No. 12

---

Record 11
This record from Alexandria describes a relaxed LaCePmPr crystal. The functional is PBE.

The structure in POSCAR format:
```
LaCePmPr
1.0
5.8359 0.0000 0.0000
2.9180 5.0541 0.0000
2.9180 1.6847 4.7650
La Ce Pr Pm
1 1 1 1
Cartesian
2.9180 1.6847 1.1913
0.0000 0.0000 0.0000
5.8359 3.3694 2.3825
8.7539 5.0541 3.5738
```

Properties
* formation energy: 0.204 eV/atom
* SG: No. 216

---

Record 12
This record from Alexandria describes a relaxed PaPd2Rh3 crystal. The functional is PBE.

The structure in POSCAR format:
```
PaPd2Rh3
1.0
5.1679 0.0000 0.0000
0.0000 5.0075 -2.5548
0.0000 0.6629 7.4841
Rh Pa Pd
6 2 4
Cartesian
1.2920 0.7978 4.6416
3.8759 4.8726 0.2877
1.2920 0.9737 1.9085
1.2920 3.2898 3.3702
3.8760 4.6967 3.0208
3.8759 2.3806 1.5591
3.8760 2.1542 4.2222
1.2920 3.5162 0.7071
0.0000 3.7832 -1.9302
0.0000 1.2243 -0.6246
2.5840 1.2243 -0.6246
2.5840 3.7832 -1.9302
```

Properties
* formation energy: -0.360 eV/atom
* SG: No. 63

---

Final energy list, top to bottom, in eV per formula unit: -27.50, -54.52, -74.71, -68.11, -27.49, -61.08, -41.56, -20.13, -28.26, -57.90, -19.57, -44.10
Total magnetic moment list, top to bottom, in μB/cell: 0.3, 0.0, 0.0, 0.0, 15.9, 0.0, 1.6, 0.0, 0.9, 0.0, 3.0, 0.0